## i
# KP2Ir | the Alexandria database | PBE-GGA | relaxed
data_KP2Ir
_chemical_formula_sum 'K2 P4 Ir2'
_cell_length_a 3.969
_cell_length_b 3.969
_cell_length_c 9.000
_cell_angle_alpha 90.00
_cell_angle_beta 90.00
_cell_angle_gamma 90.00
_space_group_name_H-M_alt 'I -4 m 2'
_space_group_IT_number 119
_space_group_name_Hall 'I -4 -2'
loop_
_atom_site_label
_atom_site_fract_x
_atom_site_fract_y
_atom_site_fract_z
K1 0.000 0.000 0.000
P1 0.000 0.000 0.500
P2 0.000 0.500 0.750
Ir1 0.000 0.500 0.250
# D(E_F) ... 6.40 states/eV per cell
# Magnetic moment ... 0.000 μB/atom

---

## ii
# KP2Ir | the Alexandria database | PBE-GGA | relaxed
data_KP2Ir
_chemical_formula_sum 'K1 P2 Ir1'
_cell_length_a 2.908
_cell_length_b 4.039
_cell_length_c 6.677
_cell_angle_alpha 90.00
_cell_angle_beta 90.00
_cell_angle_gamma 90.00
_space_group_name_H-M_alt 'P m m m'
_space_group_IT_number 47
loop_
_space_group_symop_operation_xyz
'x,y,z'
'-x,-y,-z'
'-x,-y,z'
'x,y,-z'
'x,-y,-z'
'-x,y,z'
'-x,y,-z'
'x,-y,z'
loop_
_atom_site_label
_atom_site_fract_x
_atom_site_fract_y
_atom_site_fract_z
K1 0.000 0.000 0.000
P1 0.500 0.500 0.319
Ir1 0.500 0.000 0.500
# D(E_F) ... 1.99 states/eV per cell
# Magnetic moment ... 0.000 μB/atom

---

Verdict on stability: i comes out at the bottom.

---

## i
# KP2Ir | the Alexandria database | PBE-GGA | relaxed
data_KP2Ir
_chemical_formula_sum 'K2 P4 Ir2'
_cell_length_a 7.055
_cell_length_b 3.895
_cell_length_c 6.498
_cell_angle_alpha 90.00
_cell_angle_beta 109.08
_cell_angle_gamma 90.00
_space_group_name_H-M_alt 'C 1 2/m 1'
_space_group_IT_number 12
loop_
_space_group_symop_operation_xyz
'x,y,z'
'-x,-y,-z'
'-x,y,-z'
'x,-y,z'
'x+1/2,y+1/2,z'
'-x+1/2,-y+1/2,-z'
'-x+1/2,y+1/2,-z'
'x+1/2,-y+1/2,z'
loop_
_atom_site_label
_atom_site_fract_x
_atom_site_fract_y
_atom_site_fract_z
K1 0.000 0.000 0.000
P1 0.213 0.000 0.623
Ir1 0.000 0.500 0.500
# D(E_F) ... 3.55 states/eV per cell
# Magnetic moment ... 0.000 μB/atom

---

## ii
# KP2Ir | the Alexandria database | PBE-GGA | relaxed
data_KP2Ir
_chemical_formula_sum 'K1 P2 Ir1'
_cell_length_a 4.287
_cell_length_b 4.287
_cell_length_c 3.806
_cell_angle_alpha 90.00
_cell_angle_beta 90.00
_cell_angle_gamma 90.00
_space_group_name_H-M_alt 'P 4/m m m'
_space_group_IT_number 123
_space_group_name_Hall '-P 4 2'
loop_
_atom_site_label
_atom_site_fract_x
_atom_site_fract_y
_atom_site_fract_z
K1 0.000 0.000 0.000
P1 0.000 0.500 0.500
Ir1 0.500 0.500 0.000
# D(E_F) ... 2.11 states/eV per cell
# Magnetic moment ... 0.000 μB/atom

---

Verdict on stability: ii comes out at the bottom.

---

## i
# KP2Ir | the Alexandria database | PBE-GGA | relaxed
data_KP2Ir
_chemical_formula_sum 'K1 P2 Ir1'
_cell_length_a 3.268
_cell_length_b 3.268
_cell_length_c 7.441
_cell_angle_alpha 90.00
_cell_angle_beta 90.00
_cell_angle_gamma 90.00
_space_group_name_H-M_alt 'P 4 m m'
_space_group_IT_number 99
loop_
_space_group_symop_operation_xyz
'x,y,z'
'-y,x,z'
'-x,-y,z'
'y,-x,z'
'-x,y,z'
'y,x,z'
'x,-y,z'
'-y,-x,z'
loop_
_atom_site_label
_atom_site_fract_x
_atom_site_fract_y
_atom_site_fract_z
K1 0.000 0.000 0.000
P1 0.000 0.000 0.519
P2 0.500 0.500 0.308
Ir1 0.500 0.500 0.625
# D(E_F) ... 2.84 states/eV per cell
# Magnetic moment ... 0.000 μB/atom

---

## ii
# KP2Ir | the Alexandria database | PBE-GGA | relaxed
data_KP2Ir
_chemical_formula_sum 'K4 P8 Ir4'
_cell_length_a 6.432
_cell_length_b 6.432
_cell_length_c 6.432
_cell_angle_alpha 90.00
_cell_angle_beta 90.00
_cell_angle_gamma 90.00
_space_group_name_H-M_alt 'F m -3 m'
_space_group_IT_number 225
_space_group_name_Hall '-F 4 2 3'
loop_
_atom_site_label
_atom_site_fract_x
_atom_site_fract_y
_atom_site_fract_z
K1 0.000 0.000 0.000
P1 0.250 0.250 0.250
Ir1 0.000 0.000 0.500
# D(E_F) ... 2.82 states/eV per cell
# Magnetic moment ... 0.000 μB/atom

---

Verdict on stability: ii comes out at the bottom.